No. 1
Computed, not measured: crystalline TlAs2Au at its relaxed geometry at the PBE-GGA level of DFT.

Values from the calculation:
Energy ... -3.651 eV/atom
E above lowest polymorph ... 0.69 eV/f.u.
Space group ... R-3m (166)

Cell lengths 7.092, 7.092, 7.092 Å; angles 33.22, 33.22, 33.22 degrees
Element x y z (fractional)
Tl1 0.750 0.750 0.750
Au1 0.250 0.250 0.250
As1 0.978 0.978 0.978
As2 0.522 0.522 0.522

=====

No. 2
Computed, not measured: crystalline TlAsAu at its relaxed geometry at the PBE-GGA level of DFT.

Values from the calculation:
Energy ... -3.272 eV/atom
E above lowest polymorph ... 0.66 eV/f.u.
Space group ... F-43m (216)

Cell lengths 4.706, 4.706, 4.706 Å; angles 60.00, 60.00, 60.00 degrees
Element x y z (fractional)
Tl1 0.000 0.000 0.000
Au1 0.750 0.750 0.750
As1 0.500 0.500 0.500

=====

No. 3
Computed, not measured: crystalline Tl5As2Au5 at its relaxed geometry at the PBE-GGA level of DFT.

Values from the calculation:
Energy ... -3.154 eV/atom
Space group ... C2/m (12)

Cell lengths 4.552, 6.337, 11.696 Å; angles 95.88, 90.00, 111.05 degrees
Element x y z (fractional)
Tl1 0.500 0.000 0.500
Tl2 0.657 0.314 0.113
Tl3 0.788 0.576 0.407
Tl4 0.212 0.424 0.593
Tl5 0.343 0.686 0.887
As1 0.057 0.113 0.800
As2 0.943 0.887 0.200
Au1 0.131 0.262 0.329
Au2 0.643 0.286 0.759
Au3 0.357 0.714 0.241
Au4 0.869 0.738 0.671
Au5 0.000 0.000 0.000

=====

No. 4
Computed, not measured: crystalline Tl2AsAu at its relaxed geometry at the PBE-GGA level of DFT.

Values from the calculation:
Energy ... -2.921 eV/atom
E above lowest polymorph ... 1.24 eV/f.u.
Space group ... C2/m (12)

Cell lengths 5.459, 5.459, 5.929 Å; angles 80.74, 80.74, 34.02 degrees
Element x y z (fractional)
Tl1 0.003 0.003 0.997
Tl2 0.497 0.497 0.503
Au1 0.750 0.750 0.750
As1 0.250 0.250 0.250

=====

For each record above, in turn, the calculated total magnetic moment values are 0.00 0.00 0.00 0.00 μB/atom.